(1)
A plane-wave DFT calculation with PBE was carried out for an optimized crystal structure of Th6Ir3RuPt2.

M_tot	0.000	μB/atom
formation enthalpy at 0 K	-11.78	eV per formula unit

abc: 18.039 4.137 8.301
angles: 90.00 103.29 90.00
Space group C2/m (No. 12)
Unique sites:
1 Th 0.003 0.000 0.256 (multiplicity 4)
2 Th 0.163 0.500 0.090 (multiplicity 4)
3 Th 0.163 0.500 0.576 (multiplicity 4)
4 Ir 0.000 0.500 0.000 (multiplicity 2)
5 Ir 0.170 0.000 0.334 (multiplicity 4)
6 Ru 0.000 0.500 0.500 (multiplicity 2)
7 Pt 0.168 0.000 0.836 (multiplicity 4)

---

(2)
A plane-wave DFT calculation with PBE was carried out for an optimized crystal structure of TiIrRuPt.

M_tot	0.000	μB/atom
formation enthalpy at 0 K	-2.56	eV per formula unit

abc: 3.861 3.884 3.909
angles: 90.00 90.00 90.00
Space group Pmmm (No. 47)
Unique sites:
1 Ti 0.000 0.000 0.000 (multiplicity 1)
2 Ir 0.500 0.000 0.500 (multiplicity 1)
3 Ru 0.500 0.500 0.000 (multiplicity 1)
4 Pt 0.000 0.500 0.500 (multiplicity 1)

---

(3)
A plane-wave DFT calculation with PBE was carried out for an optimized crystal structure of UIrRuPt.

M_tot	0.000	μB/atom
formation enthalpy at 0 K	-2.44	eV per formula unit

abc: 3.908 4.060 4.198
angles: 90.00 90.00 90.00
Space group Pmmm (No. 47)
Unique sites:
1 U 0.000 0.000 0.000 (multiplicity 1)
2 Ir 0.500 0.000 0.500 (multiplicity 1)
3 Ru 0.500 0.500 0.000 (multiplicity 1)
4 Pt 0.000 0.500 0.500 (multiplicity 1)